# 1
This record from Alexandria describes TaRe2HS after structural relaxation. The functional is PBE.

a = 4.9799 Å, b = 4.9799 Å, c = 4.7300 Å
α = 90.00°, β = 90.00°, γ = 90.00°
Closest atoms and distances in Å follow each position.
Fractional coordinates of all 5 atoms:
1 Ta 0.0000 0.0000 0.0000  2 S 2.37, 4 Re 2.49
2 Re 0.0000 0.5000 0.0000  2 Ta 2.49
3 Re 0.5000 0.0000 0.0000  2 Ta 2.49
4 H 0.5000 0.5000 0.5000  8 Re 3.43, 4 S 3.52
5 S 0.0000 0.0000 0.5000  2 Ta 2.37

SG ... P4/mmm (123)
Electronic total energy ... -32.719 eV per cell


# 2
This record from Alexandria describes Zr2VSb after structural relaxation. The functional is PBE.

a = 9.1954 Å, b = 9.1954 Å, c = 9.1954 Å
α = 20.77°, β = 20.77°, γ = 20.77°
Closest atoms and distances in Å follow each position.
Fractional coordinates of all 4 atoms:
1 Zr 0.2446 0.2446 0.2446  3 V 2.84, 3 Sb 3.07
2 Zr 0.7554 0.7554 0.7554  3 V 2.84, 3 Sb 3.07
3 V 0.5000 0.5000 0.5000  6 Zr 2.84
4 Sb 0.0000 0.0000 0.0000  6 Zr 3.07, 6 Sb 3.32

SG ... R-3m (166)
Formation energy from raw total energies ... 0.19 eV per formula unit


# 3
This record from Alexandria describes Tb4PmY2Sc after structural relaxation. The functional is PBE.

a = 5.0012 Å, b = 5.0012 Å, c = 10.0066 Å
α = 90.00°, β = 90.00°, γ = 90.00°
Closest atoms and distances in Å follow each position.
Fractional coordinates of all 8 atoms:
1 Tb 0.0000 0.5000 0.2435  2 Sc 3.49, 4 Y 3.49-3.58, 4 Tb 3.54, 2 Pm 3.58
2 Tb 0.0000 0.5000 0.7565  2 Sc 3.49, 4 Y 3.49-3.58, 4 Tb 3.54, 2 Pm 3.58
3 Tb 0.5000 0.0000 0.2435  2 Sc 3.49, 4 Y 3.49-3.58, 4 Tb 3.54, 2 Pm 3.58
4 Tb 0.5000 0.0000 0.7565  2 Sc 3.49, 4 Y 3.49-3.58, 4 Tb 3.54, 2 Pm 3.58
5 Pm 0.0000 0.0000 0.5000  4 Y 3.54, 8 Tb 3.58
6 Y 0.0000 0.0000 0.0000  8 Tb 3.49, 4 Sc 3.54
7 Y 0.5000 0.5000 0.5000  4 Pm 3.54, 8 Tb 3.58
8 Sc 0.5000 0.5000 0.0000  8 Tb 3.49, 4 Y 3.54

SG ... P4/mmm (123)
Electronic total energy ... -42.269 eV per cell


# 4
This record from Alexandria describes Th2RuAu after structural relaxation. The functional is PBE.

a = 7.8346 Å, b = 4.1679 Å, c = 12.7935 Å
α = 90.00°, β = 90.00°, γ = 90.00°
Closest atoms and distances in Å follow each position.
Fractional coordinates of all 16 atoms:
1 Th 0.0597 0.2500 0.1714  3 Ru 2.90-2.94, 4 Au 3.11-3.13
2 Th 0.1867 0.7500 0.4303  2 Ru 2.74
3 Th 0.3133 0.2500 0.9303  2 Ru 2.74
4 Th 0.4403 0.7500 0.6714  3 Ru 2.90-2.94, 4 Au 3.11-3.13
5 Th 0.5597 0.2500 0.3286  3 Ru 2.90-2.94, 4 Au 3.11-3.13
6 Th 0.6867 0.7500 0.0697  2 Ru 2.74
7 Th 0.8133 0.2500 0.5697  2 Ru 2.74
8 Th 0.9403 0.7500 0.8286  3 Ru 2.90-2.94, 4 Au 3.11-3.13
9 Ru 0.1432 0.7500 0.0221  5 Th 2.74-2.94, 1 Au 2.81
10 Ru 0.3568 0.2500 0.5221  5 Th 2.74-2.94, 1 Au 2.81
11 Ru 0.6432 0.7500 0.4779  5 Th 2.74-2.94, 1 Au 2.81
12 Ru 0.8568 0.2500 0.9779  5 Th 2.74-2.94, 1 Au 2.81
13 Au 0.1451 0.2500 0.6991  1 Ru 2.81, 5 Th 3.08-3.13
14 Au 0.3549 0.7500 0.1991  1 Ru 2.81, 5 Th 3.08-3.13
15 Au 0.6451 0.2500 0.8009  1 Ru 2.81, 5 Th 3.08-3.13
16 Au 0.8549 0.7500 0.3009  1 Ru 2.81, 5 Th 3.08-3.13

SG ... Pnma (62)
Electronic total energy ... -117.830 eV per cell


| no. | DOS(E_F) (states/eV per cell) |
| --- | --- |
| 1 | 4.172 |
| 2 | 3.566 |
| 3 | 12.109 |
| 4 | 14.217 |